Record 1
CsLaPbSe3 | PBE-GGA | optimized geometry

uncorrected formation energy	-1.35	eV/atom
crystal system	monoclinic

The structure in POSCAR format:
```
CsLaPbSe3
1.0
4.426 0.000 0.000
0.000 9.309 -0.486
0.000 -3.002 11.815
Cs La Pb Se
2 2 2 6
Direct
0.250 0.231 0.259
0.750 0.769 0.741
0.250 0.647 0.146
0.750 0.353 0.854
0.250 0.148 0.574
0.750 0.852 0.426
0.750 0.887 0.208
0.250 0.113 0.792
0.250 0.651 0.399
0.750 0.349 0.601
0.750 0.420 0.108
0.250 0.580 0.892
```

***

Record 2
Cs2HfPdSe4 | PBE-GGA | optimized geometry

uncorrected formation energy	-1.01	eV/atom
crystal system	orthorhombic

The structure in POSCAR format:
```
Cs2HfPdSe4
1.0
-3.180 -2.444 4.783
-0.057 -7.991 -0.049
9.407 -1.344 9.640
Cs Hf Pd Se
4 2 2 8
Direct
0.178 0.000 0.643
0.822 0.000 0.357
0.572 0.500 0.857
0.928 0.500 0.143
0.750 0.500 0.500
0.000 0.000 0.000
0.250 0.500 0.500
0.500 0.000 0.000
0.290 0.806 0.106
0.203 0.194 0.894
0.903 0.806 0.894
0.604 0.194 0.106
0.460 0.694 0.394
0.547 0.306 0.606
0.847 0.694 0.606
0.146 0.306 0.394
```

***

Record 3
RbNa2Pb2 | PBE-GGA | optimized geometry

formation enthalpy at 0 K	-0.102	eV/atom
crystal system	monoclinic

The structure in POSCAR format:
```
RbNa2Pb2
1.0
-3.786 -1.916 -2.583
0.072 -5.156 3.719
-2.454 5.369 4.393
Rb Na Pb
1 2 2
Direct
0.000 0.000 0.000
0.337 0.424 0.675
0.663 0.576 0.325
0.713 0.105 0.427
0.287 0.895 0.573
```

***

Record 4
Pm6Sm12Dy | PBE-GGA | optimized geometry

formation enthalpy at 0 K	0.318	eV/atom
crystal system	trigonal

The structure in POSCAR format:
```
Pm6Sm12Dy
1.0
9.387 -1.819 -2.642
-2.946 9.096 -2.642
-1.610 -1.819 9.618
Pm Sm Dy
6 12 1
Direct
0.731 0.478 0.731
0.731 0.731 0.478
0.478 0.731 0.731
0.269 0.269 0.522
0.269 0.522 0.269
0.522 0.269 0.269
0.881 0.119 0.500
0.268 0.907 0.268
0.268 0.268 0.907
0.093 0.732 0.732
0.732 0.732 0.093
0.732 0.093 0.732
0.500 0.881 0.119
0.119 0.500 0.881
0.119 0.881 0.500
0.500 0.119 0.881
0.881 0.500 0.119
0.907 0.268 0.268
0.000 0.000 0.000
```